[1]
Computed, not measured: a geometry-optimized SrZnAgF6 structure at the PBE level of DFT.

Summary:
DOS at the Fermi energy = 6.217 states/eV/f.u.
Symmetry = P-31c, No. 163
Uncorrected energy = -77.6 eV/cell
ρ = 4.3 Mg/m³

a b c (Å): 5.653 5.653 10.373
angles (deg): 90.00 90.00 120.00
Last column: magnetic moment on the atom in μB.
Element x y z (fractional)
Sr1 0.000 0.000 0.000  0.00
Sr2 0.000 0.000 0.500  0.00
Zn1 0.667 0.333 0.250  0.01
Zn2 0.333 0.667 0.750  0.01
Ag1 0.333 0.667 0.250  0.55
Ag2 0.667 0.333 0.750  0.55
F1 0.659 0.633 0.139  0.07
F2 0.974 0.341 0.139  0.07
F3 0.341 0.974 0.639  0.07
F4 0.026 0.659 0.861  0.07
F5 0.367 0.341 0.361  0.07
F6 0.974 0.633 0.361  0.07
F7 0.633 0.974 0.861  0.07
F8 0.659 0.026 0.361  0.07
F9 0.026 0.367 0.639  0.07
F10 0.367 0.026 0.139  0.07
F11 0.633 0.659 0.639  0.07
F12 0.341 0.367 0.861  0.07



[2]
Computed, not measured: a geometry-optimized SrZrAg2F8 structure at the PBE level of DFT.

Summary:
DOS at the Fermi energy = 0.000 states/eV/f.u.
Symmetry = P2/m, No. 10
Uncorrected energy = -64.7 eV/cell
ρ = 4.9 Mg/m³

a b c (Å): 3.882 5.982 7.959
angles (deg): 90.00 90.00 90.10
Element x y z (fractional)
Sr1 0.000 0.000 0.500
Zr1 0.000 0.000 0.000
Ag1 0.500 0.500 0.741
Ag2 0.500 0.500 0.259
F1 0.000 0.787 0.209
F2 0.500 0.805 0.000
F3 0.000 0.213 0.209
F4 0.000 0.213 0.791
F5 0.500 0.195 0.000
F6 0.000 0.787 0.791
F7 0.499 0.755 0.500
F8 0.501 0.245 0.500



[3]
Computed, not measured: a geometry-optimized TaAgF6 structure at the PBE level of DFT.

Summary:
DOS at the Fermi energy = 0.000 states/eV/f.u.
Symmetry = P-31c, No. 163
Uncorrected energy = -95.9 eV/cell
ρ = 4.6 Mg/m³

a b c (Å): 5.604 5.604 10.770
angles (deg): 90.00 90.00 120.00
Last column: magnetic moment on the atom in μB.
Element x y z (fractional)
Ta1 0.000 0.000 0.500  0.00
Ta2 0.000 0.000 0.000  0.00
Ag1 0.333 0.667 0.250  0.08
Ag2 0.667 0.333 0.750  0.08
F1 0.266 0.292 0.396  0.00
F2 0.734 0.708 0.604  0.00
F3 0.026 0.734 0.396  0.00
F4 0.266 0.974 0.104  0.00
F5 0.974 0.266 0.604  0.00
F6 0.734 0.026 0.896  0.00
F7 0.708 0.974 0.396  0.00
F8 0.026 0.292 0.104  0.00
F9 0.292 0.026 0.604  0.00
F10 0.974 0.708 0.896  0.00
F11 0.708 0.734 0.104  0.00
F12 0.292 0.266 0.896  0.00



[4]
Computed, not measured: a geometry-optimized TaAg6F12 structure at the PBE level of DFT.

Summary:
DOS at the Fermi energy = 14.099 states/eV/f.u.
Symmetry = R-3, No. 148
Uncorrected energy = -84.4 eV/cell
ρ = 5.4 Mg/m³

a b c (Å): 6.948 6.948 6.948
angles (deg): 97.77 97.77 97.77
Element x y z (fractional)
Ta1 0.000 0.000 0.000
Ag1 0.152 0.337 0.602
Ag2 0.663 0.398 0.848
Ag3 0.398 0.848 0.663
Ag4 0.848 0.663 0.398
Ag5 0.337 0.602 0.152
Ag6 0.602 0.152 0.337
F1 0.404 0.164 0.608
F2 0.164 0.608 0.404
F3 0.608 0.404 0.164
F4 0.596 0.836 0.392
F5 0.836 0.392 0.596
F6 0.392 0.596 0.836
F7 0.015 0.937 0.724
F8 0.276 0.985 0.063
F9 0.063 0.276 0.985
F10 0.985 0.063 0.276
F11 0.724 0.015 0.937
F12 0.937 0.724 0.015